*P*
Computed, not measured: an optimized crystal structure of CsKZr2 at the PBE level of DFT.

Calculated values
Symmetry: Fm-3m (225)
N(E_F) in states/eV per atom: 1.149

Geometry as POSCAR:
```
CsKZr2
1.0
0.000 4.094 4.094
4.094 0.000 4.094
4.094 4.094 0.000
Cs K Zr
1 1 2
Cartesian
0.000 0.000 0.000 Cs
4.094 4.094 4.094 K
2.047 2.047 2.047 Zr
6.140 6.140 6.140 Zr
```


*Q*
Computed, not measured: an optimized crystal structure of CsKZr2 at the PBE level of DFT.

Calculated values
Symmetry: I-42d (122)
N(E_F) in states/eV per atom: 1.536

Geometry as POSCAR:
```
CsKZr2
1.0
-2.394 2.394 13.730
2.394 -2.394 13.730
2.394 2.394 -13.730
Cs K Zr
2 2 4
Cartesian
0.000 0.000 0.000 Cs
0.000 2.394 6.865 Cs
2.394 0.000 6.865 K
0.000 0.000 13.730 K
1.197 0.626 -3.432 Zr
1.768 -1.197 17.162 Zr
1.197 1.768 10.297 Zr
0.626 3.591 3.432 Zr
```


Quick ranking, most stable first: *Q*, *P*.


*P*
Computed, not measured: an optimized crystal structure of CsLiLa2 at the PBE level of DFT.

Calculated values
Symmetry: I-42d (122)
N(E_F) in states/eV per atom: 1.452

Geometry as POSCAR:
```
CsLiLa2
1.0
-2.435 2.435 13.897
2.435 -2.435 13.897
2.435 2.435 -13.897
Cs Li La
2 2 4
Cartesian
0.000 0.000 0.000 Cs
0.000 2.435 6.948 Cs
2.435 0.000 6.948 Li
0.000 0.000 13.897 Li
1.217 -1.059 10.423 La
1.376 1.217 3.474 La
1.217 3.494 -3.474 La
1.059 1.217 17.371 La
```


*Q*
Computed, not measured: an optimized crystal structure of CsLiLa2 at the PBE level of DFT.

Calculated values
Symmetry: Fm-3m (225)
N(E_F) in states/eV per atom: 0.331

Geometry as POSCAR:
```
CsLiLa2
1.0
0.000 4.149 4.149
4.149 0.000 4.149
4.149 4.149 0.000
Cs Li La
1 1 2
Cartesian
0.000 0.000 0.000 Cs
4.149 4.149 4.149 Li
2.075 2.075 2.075 La
6.224 6.224 6.224 La
```


Quick ranking, most stable first: *Q*, *P*.


*P*
Computed, not measured: an optimized crystal structure of CsLi3La at the PBE level of DFT.

Calculated values
Symmetry: Pm-3m (221)
N(E_F) in states/eV per atom: 0.460

Geometry as POSCAR:
```
CsLi3La
1.0
5.378 0.000 0.000
0.000 5.378 0.000
0.000 0.000 5.378
Cs Li La
1 3 1
Cartesian
0.000 0.000 0.000 Cs
0.000 0.000 2.689 Li
0.000 2.689 0.000 Li
2.689 0.000 0.000 Li
2.689 2.689 2.689 La
```


*Q*
Computed, not measured: an optimized crystal structure of CsLi3La at the PBE level of DFT.

Calculated values
Symmetry: Pm-3m (221)
N(E_F) in states/eV per atom: 1.129

Geometry as POSCAR:
```
CsLi3La
1.0
6.369 0.000 0.000
0.000 6.369 0.000
0.000 0.000 6.369
Cs Li La
1 3 1
Cartesian
0.000 0.000 0.000 Cs
0.000 3.185 3.185 Li
3.185 0.000 3.185 Li
3.185 3.185 0.000 Li
3.185 3.185 3.185 La
```


Quick ranking, most stable first: *Q*, *P*.


*P*
Computed, not measured: an optimized crystal structure of CsLaN2 at the PBE level of DFT.

Calculated values
Symmetry: I-42d (122)
N(E_F) in states/eV per atom: 0.827

Geometry as POSCAR:
```
CsLaN2
1.0
-3.471 3.471 4.714
3.471 -3.471 4.714
3.471 3.471 -4.714
Cs La N
2 2 4
Cartesian
0.000 0.000 0.000 Cs
0.000 3.471 2.357 Cs
3.471 0.000 2.357 La
0.000 0.000 4.714 La
1.736 2.483 -1.179 N
4.460 1.736 1.179 N
1.736 0.988 3.536 N
-0.988 1.736 5.893 N
```


*Q*
Computed, not measured: an optimized crystal structure of CsLaN2 at the PBE level of DFT.

Calculated values
Symmetry: R-3m (166)
N(E_F) in states/eV per atom: 0.118

Geometry as POSCAR:
```
CsLaN2
1.0
1.980 1.143 7.049
-1.980 1.143 7.049
0.000 -2.286 7.049
Cs La N
1 1 2
Cartesian
0.000 0.000 0.000 Cs
0.000 0.000 10.574 La
0.000 0.000 2.318 N
0.000 0.000 18.829 N
```


Quick ranking, most stable first: *P*, *Q*.


*P*
Computed, not measured: an optimized crystal structure of CsLaNb3 at the PBE level of DFT.

Calculated values
Symmetry: Pm-3m (221)
N(E_F) in states/eV per atom: 1.157

Geometry as POSCAR:
```
CsLaNb3
1.0
5.147 0.000 0.000
0.000 5.147 0.000
0.000 0.000 5.147
Cs La Nb
1 1 3
Cartesian
0.000 0.000 0.000 Cs
2.574 2.574 2.574 La
0.000 0.000 2.574 Nb
0.000 2.574 0.000 Nb
2.574 0.000 0.000 Nb
```


*Q*
Computed, not measured: an optimized crystal structure of CsLaNb3 at the PBE level of DFT.

Calculated values
Symmetry: Pm-3m (221)
N(E_F) in states/eV per atom: 1.807

Geometry as POSCAR:
```
CsLaNb3
1.0
5.222 0.000 0.000
0.000 5.222 0.000
0.000 0.000 5.222
Cs La Nb
1 1 3
Cartesian
0.000 0.000 0.000 Cs
2.611 2.611 2.611 La
0.000 2.611 2.611 Nb
2.611 0.000 2.611 Nb
2.611 2.611 0.000 Nb
```


Quick ranking, most stable first: *Q*, *P*.


*P*
Computed, not measured: an optimized crystal structure of CsLaNb2 at the PBE level of DFT.

Calculated values
Symmetry: I-42d (122)
N(E_F) in states/eV per atom: 1.514

Geometry as POSCAR:
```
CsLaNb2
1.0
-2.152 2.152 11.473
2.152 -2.152 11.473
2.152 2.152 -11.473
Cs La Nb
2 2 4
Cartesian
0.000 0.000 0.000 Cs
0.000 2.152 5.737 Cs
2.152 0.000 5.737 La
0.000 0.000 11.473 La
1.076 1.172 -2.868 Nb
3.132 1.076 2.868 Nb
1.076 0.980 8.605 Nb
-0.980 1.076 14.342 Nb
```


*Q*
Computed, not measured: an optimized crystal structure of CsLaNb2 at the PBE level of DFT.

Calculated values
Symmetry: Fm-3m (225)
N(E_F) in states/eV per atom: 1.384

Geometry as POSCAR:
```
CsLaNb2
1.0
0.000 3.713 3.713
3.713 0.000 3.713
3.713 3.713 0.000
Cs La Nb
1 1 2
Cartesian
0.000 0.000 0.000 Cs
3.713 3.713 3.713 La
1.857 1.857 1.857 Nb
5.570 5.570 5.570 Nb
```


Quick ranking, most stable first: *P*, *Q*.


*P*
Computed, not measured: an optimized crystal structure of CsLa2Ni at the PBE level of DFT.

Calculated values
Symmetry: Fm-3m (225)
N(E_F) in states/eV per atom: 1.442

Geometry as POSCAR:
```
CsLa2Ni
1.0
0.000 3.890 3.890
3.890 0.000 3.890
3.890 3.890 0.000
Cs La Ni
1 2 1
Cartesian
0.000 0.000 0.000 Cs
1.945 1.945 1.945 La
5.834 5.834 5.834 La
3.890 3.890 3.890 Ni
```


*Q*
Computed, not measured: an optimized crystal structure of CsLa2Ni at the PBE level of DFT.

Calculated values
Symmetry: I-42d (122)
N(E_F) in states/eV per atom: 1.662

Geometry as POSCAR:
```
CsLa2Ni
1.0
-4.539 4.539 3.966
4.539 -4.539 3.966
4.539 4.539 -3.966
Cs La Ni
2 4 2
Cartesian
0.000 0.000 0.000 Cs
0.000 4.539 1.983 Cs
2.270 -1.066 2.974 La
3.473 2.270 0.991 La
2.270 5.605 -0.991 La
1.066 2.270 4.957 La
4.539 0.000 1.983 Ni
0.000 0.000 3.966 Ni
```


Quick ranking, most stable first: *Q*, *P*.


*P*
Computed, not measured: an optimized crystal structure of CsLaP2O at the PBE level of DFT.

Calculated values
Symmetry: P4/mmm (123)
N(E_F) in states/eV per atom: 0.804

Geometry as POSCAR:
```
CsLaP2O
1.0
6.138 0.000 0.000
0.000 6.138 0.000
0.000 0.000 4.465
Cs La P O
1 1 2 1
Cartesian
0.000 0.000 0.000 Cs
3.069 3.069 2.233 La
0.000 3.069 2.233 P
3.069 0.000 2.233 P
3.069 3.069 0.000 O
```


*Q*
Computed, not measured: an optimized crystal structure of CsLaP2O at the PBE level of DFT.

Calculated values
Symmetry: P4/mmm (123)
N(E_F) in states/eV per atom: 0.917

Geometry as POSCAR:
```
CsLaP2O
1.0
5.359 0.000 0.000
0.000 5.359 0.000
0.000 0.000 4.420
Cs La P O
1 1 2 1
Cartesian
0.000 0.000 0.000 Cs
2.680 2.680 2.210 La
0.000 2.680 0.000 P
2.680 0.000 0.000 P
0.000 0.000 2.210 O
```


Quick ranking, most stable first: *P*, *Q*.


*P*
Computed, not measured: an optimized crystal structure of CsLaOs3 at the PBE level of DFT.

Calculated values
Symmetry: Pm-3m (221)
N(E_F) in states/eV per atom: 1.360

Geometry as POSCAR:
```
CsLaOs3
1.0
5.198 0.000 0.000
0.000 5.198 0.000
0.000 0.000 5.198
Cs La Os
1 1 3
Cartesian
0.000 0.000 0.000 Cs
2.599 2.599 2.599 La
0.000 2.599 2.599 Os
2.599 0.000 2.599 Os
2.599 2.599 0.000 Os
```


*Q*
Computed, not measured: an optimized crystal structure of CsLaOs3 at the PBE level of DFT.

Calculated values
Symmetry: Pm-3m (221)
N(E_F) in states/eV per atom: 1.589

Geometry as POSCAR:
```
CsLaOs3
1.0
4.982 0.000 0.000
0.000 4.982 0.000
0.000 0.000 4.982
Cs La Os
1 1 3
Cartesian
0.000 0.000 0.000 Cs
2.491 2.491 2.491 La
0.000 0.000 2.491 Os
0.000 2.491 0.000 Os
2.491 0.000 0.000 Os
```


Quick ranking, most stable first: *P*, *Q*.


*P*
Computed, not measured: an optimized crystal structure of CsLa2Os at the PBE level of DFT.

Calculated values
Symmetry: Fm-3m (225)
N(E_F) in states/eV per atom: 1.419

Geometry as POSCAR:
```
CsLa2Os
1.0
0.000 3.832 3.832
3.832 0.000 3.832
3.832 3.832 0.000
Cs La Os
1 2 1
Cartesian
0.000 0.000 0.000 Cs
1.916 1.916 1.916 La
5.748 5.748 5.748 La
3.832 3.832 3.832 Os
```


*Q*
Computed, not measured: an optimized crystal structure of CsLa2Os at the PBE level of DFT.

Calculated values
Symmetry: I-42d (122)
N(E_F) in states/eV per atom: 1.195

Geometry as POSCAR:
```
CsLa2Os
1.0
-4.302 4.302 6.093
4.302 -4.302 6.093
4.302 4.302 -6.093
Cs La Os
2 4 2
Cartesian
0.000 0.000 0.000 Cs
0.000 4.302 3.046 Cs
2.151 -0.012 4.570 La
4.290 2.151 1.523 La
2.151 4.314 -1.523 La
0.012 2.151 7.616 La
4.302 0.000 3.046 Os
0.000 0.000 6.093 Os
```


Quick ranking, most stable first: *Q*, *P*.


*P*
Computed, not measured: an optimized crystal structure of CsLa3P at the PBE level of DFT.

Calculated values
Symmetry: Pm-3m (221)
N(E_F) in states/eV per atom: 1.892

Geometry as POSCAR:
```
CsLa3P
1.0
5.846 0.000 0.000
0.000 5.846 0.000
0.000 0.000 5.846
Cs La P
1 3 1
Cartesian
0.000 0.000 0.000 Cs
0.000 2.923 2.923 La
2.923 0.000 2.923 La
2.923 2.923 0.000 La
2.923 2.923 2.923 P
```


*Q*
Computed, not measured: an optimized crystal structure of CsLa3P at the PBE level of DFT.

Calculated values
Symmetry: Pm-3m (221)
N(E_F) in states/eV per atom: 0.881

Geometry as POSCAR:
```
CsLa3P
1.0
5.771 0.000 0.000
0.000 5.771 0.000
0.000 0.000 5.771
Cs La P
1 3 1
Cartesian
0.000 0.000 0.000 Cs
0.000 0.000 2.885 La
0.000 2.885 0.000 La
2.885 0.000 0.000 La
2.885 2.885 2.885 P
```


Quick ranking, most stable first: *P*, *Q*.


*P*
Computed, not measured: an optimized crystal structure of CsLa2ReP at the PBE level of DFT.

Calculated values
Symmetry: P4/mmm (123)
N(E_F) in states/eV per atom: 0.557

Geometry as POSCAR:
```
CsLa2ReP
1.0
5.824 0.000 0.000
0.000 5.824 0.000
0.000 0.000 4.868
Cs La Re P
1 2 1 1
Cartesian
0.000 0.000 0.000 Cs
0.000 2.912 0.000 La
2.912 0.000 0.000 La
0.000 0.000 2.434 Re
2.912 2.912 2.434 P
```


*Q*
Computed, not measured: an optimized crystal structure of CsLa2ReP at the PBE level of DFT.

Calculated values
Symmetry: P4/mmm (123)
N(E_F) in states/eV per atom: 0.390

Geometry as POSCAR:
```
CsLa2ReP
1.0
5.440 0.000 0.000
0.000 5.440 0.000
0.000 0.000 5.603
Cs La Re P
1 2 1 1
Cartesian
0.000 0.000 0.000 Cs
0.000 2.720 2.802 La
2.720 0.000 2.802 La
0.000 0.000 2.802 Re
2.720 2.720 0.000 P
```


Quick ranking, most stable first: *Q*, *P*.